Entry 1:
A plane-wave DFT calculation with PBE was carried out for crystalline LuTiInTc at its relaxed geometry.

Summary:
The magnetic moment is 0.00 μB/cell. The calculation puts the formation energy at -0.149 eV per atom. As for the electronic total energy: -26.115 eV for the cell shown. Its symmetry is F-43m, No. 216.

abc: 4.769 4.769 4.769
angles: 60.00 60.00 60.00
Fractional coordinates of all 4 atoms:
In 0.000 0.000 0.000
Lu 0.750 0.750 0.750
Ti 0.250 0.250 0.250
Tc 0.500 0.500 0.500

=====

Entry 2:
A plane-wave DFT calculation with PBE was carried out for crystalline LuInTe2 at its relaxed geometry.

Summary:
The magnetic moment is 0.00 μB/cell. As for the electronic total energy: -17.232 eV for the cell shown. The uncorrected formation energy is -0.922 eV per atom. Its symmetry is R-3m, No. 166.

abc: 4.355 4.355 8.493
angles: 75.14 75.14 60.00
Fractional coordinates of all 4 atoms:
Te 0.262 0.262 0.214
Te 0.738 0.738 0.786
Lu 0.000 0.000 0.000
In 0.500 0.500 0.500